{"formula": "NaBiAu", "functional": "PBE-GGA", "state": "optimized geometry", "dft_energy_ev_per_atom": -3.108, "magmom_total_mub_per_cell": 0.00, "de_polymorph_kj_per_mol_atoms": 0.5, "cell": [[4.849, 0.000, 0.000], [0.000, 8.505, 0.000], [0.000, 0.000, 7.684]], "species": ["Na", "Na", "Na", "Na", "Bi", "Bi", "Bi", "Bi", "Au", "Au", "Au", "Au"], "fractional_positions": [[0.250, 0.810, 0.493], [0.750, 0.310, 0.007], [0.250, 0.690, 0.993], [0.750, 0.190, 0.507], [0.750, 0.903, 0.187], [0.750, 0.597, 0.687], [0.250, 0.097, 0.813], [0.250, 0.403, 0.313], [0.750, 0.583, 0.300], [0.750, 0.917, 0.800], [0.250, 0.083, 0.200], [0.250, 0.417, 0.700]]}